1) The following is a DFT calculation (PBE) of a relaxed structure of LaSm3Dy2.

POSCAR file:
```
LaSm3Dy2
1.0
3.523 5.599 1.229
-3.523 5.599 1.229
0.000 3.499 10.940
La Sm Dy
2 6 4
direct
0.254 0.746 0.250
0.746 0.254 0.750
0.252 0.748 0.750
0.748 0.252 0.250
0.164 0.169 0.915
0.831 0.836 0.585
0.169 0.164 0.415
0.836 0.831 0.085
0.666 0.666 0.419
0.666 0.666 0.919
0.334 0.334 0.081
0.334 0.334 0.581
```

Calculated values
Space-group type: C2/c (15)
Spin magnetization in μB/atom: 0.00

***

2) The following is a DFT calculation (PBE) of a relaxed structure of LaSm3Dy2.

POSCAR file:
```
LaSm3Dy2
1.0
-1.276 -3.222 -0.386
4.249 -1.201 -4.018
4.450 -1.007 9.443
La Sm Dy
1 3 2
direct
0.000 0.000 0.000
0.000 0.500 0.000
0.807 0.807 0.614
0.193 0.193 0.386
0.638 0.638 0.276
0.362 0.362 0.724
```

Calculated values
Space-group type: Immm (71)
Spin magnetization in μB/atom: 0.00

***

Taking the most stable structure as the zero point, the relative energies in eV/atom are 1) 0.000; 2) 0.255.

***

1) The following is a DFT calculation (PBE) of a relaxed structure of La2Sm2Dy7.

POSCAR file:
```
La2Sm2Dy7
1.0
1.534 5.348 -4.144
4.696 -5.810 -5.769
-5.699 -3.891 -0.712
La Sm Dy
2 2 7
direct
0.748 0.500 0.748
0.252 0.500 0.252
0.727 0.000 0.273
0.273 0.000 0.727
0.000 0.318 0.500
0.500 0.682 0.000
0.000 0.682 0.500
0.500 0.318 0.000
0.000 0.000 0.000
0.500 0.819 0.500
0.500 0.181 0.500
```

Calculated values
Space-group type: C2/m (12)
Spin magnetization in μB/atom: 0.02

***

2) The following is a DFT calculation (PBE) of a relaxed structure of La2Sm2Dy7.

POSCAR file:
```
La2Sm2Dy7
1.0
7.476 2.765 1.635
3.966 9.220 -3.028
-0.394 -2.765 7.643
La Sm Dy
2 2 7
direct
0.214 0.687 0.786
0.786 0.313 0.214
0.711 0.000 0.711
0.289 0.000 0.289
0.235 0.678 0.245
0.755 0.678 0.765
0.657 0.073 0.343
0.000 0.500 0.000
0.343 0.927 0.657
0.765 0.322 0.755
0.245 0.322 0.235
```

Calculated values
Space-group type: C2/m (12)
Spin magnetization in μB/atom: 0.00

***

Taking the most stable structure as the zero point, the relative energies in eV/atom are 1) 0.195; 2) 0.000.

***

1) The following is a DFT calculation (PBE) of a relaxed structure of La3SmDy7.

POSCAR file:
```
La3SmDy7
1.0
6.722 0.463 -0.081
0.878 8.578 1.087
-0.534 0.212 6.566
La Sm Dy
3 1 7
direct
0.060 0.837 0.197
0.500 0.000 0.000
0.940 0.163 0.803
0.500 0.500 0.500
0.776 0.214 0.280
0.707 0.854 0.562
0.268 0.420 0.013
0.732 0.580 0.987
0.000 0.500 0.500
0.293 0.146 0.438
0.224 0.786 0.720
```

Calculated values
Space-group type: P-1 (2)
Spin magnetization in μB/atom: 0.00

***

2) The following is a DFT calculation (PBE) of a relaxed structure of La3SmDy7.

POSCAR file:
```
La3SmDy7
1.0
8.810 0.000 0.000
0.000 7.115 0.000
0.000 -3.558 6.162
La Sm Dy
3 1 7
direct
0.784 0.500 0.500
0.784 0.500 0.001
0.784 0.999 0.500
0.443 0.333 0.667
0.123 0.167 0.833
0.123 0.167 0.334
0.124 0.667 0.333
0.443 0.833 0.167
0.443 0.335 0.167
0.443 0.833 0.665
0.123 0.666 0.833
```

Calculated values
Space-group type: P3m1 (156)
Spin magnetization in μB/atom: 0.00

***

Taking the most stable structure as the zero point, the relative energies in eV/atom are 1) 0.000; 2) 0.054.

***

1) The following is a DFT calculation (PBE) of a relaxed structure of La2Sm3Dy.

POSCAR file:
```
La2Sm3Dy
1.0
-0.734 -5.229 -2.363
5.805 2.662 -7.694
5.729 -2.385 3.497
La Sm Dy
4 6 2
direct
0.500 0.832 0.251
0.000 0.332 0.249
0.000 0.668 0.751
0.500 0.168 0.749
0.000 0.000 0.000
0.500 0.500 0.500
0.500 0.833 0.750
0.500 0.167 0.250
0.000 0.333 0.750
0.000 0.667 0.250
0.000 0.000 0.500
0.500 0.500 0.000
```

Calculated values
Space-group type: Pnnm (58)
Spin magnetization in μB/atom: 0.00

***

2) The following is a DFT calculation (PBE) of a relaxed structure of La2Sm3Dy.

POSCAR file:
```
La2Sm3Dy
1.0
6.708 0.250 1.049
-1.828 8.885 1.465
-0.435 -0.250 6.776
La Sm Dy
4 6 2
direct
0.877 0.624 0.626
0.374 0.124 0.123
0.626 0.876 0.877
0.123 0.376 0.374
0.584 0.250 0.584
0.416 0.750 0.416
0.167 0.000 0.666
0.666 0.500 0.167
0.334 0.500 0.833
0.833 0.000 0.334
0.083 0.750 0.083
0.917 0.250 0.917
```

Calculated values
Space-group type: C2/c (15)
Spin magnetization in μB/atom: 0.00

***

Taking the most stable structure as the zero point, the relative energies in eV/atom are 1) 0.009; 2) 0.000.

***

1) The following is a DFT calculation (PBE) of a relaxed structure of La6Sm2Dy.

POSCAR file:
```
La6Sm2Dy
1.0
3.703 0.000 0.001
0.000 9.298 4.245
-0.001 1.707 10.077
La Sm Dy
6 2 1
direct
0.000 0.507 0.164
0.000 0.836 0.493
0.000 0.493 0.836
0.500 0.679 0.321
0.000 0.164 0.507
0.500 0.321 0.679
0.500 0.173 0.173
0.500 0.827 0.827
0.000 0.000 0.000
```

Calculated values
Space-group type: Cmmm (65)
Spin magnetization in μB/atom: 0.00

***

2) The following is a DFT calculation (PBE) of a relaxed structure of La6Sm2Dy.

POSCAR file:
```
La6Sm2Dy
1.0
3.675 0.000 0.000
-1.837 3.182 0.000
0.000 0.000 27.671
La Sm Dy
6 2 1
direct
0.667 0.333 0.894
0.333 0.667 0.437
0.333 0.667 0.780
0.333 0.667 0.220
0.333 0.667 0.563
0.667 0.333 0.106
0.667 0.333 0.330
0.667 0.333 0.670
0.333 0.667 0.000
```

Calculated values
Space-group type: P-6m2 (187)
Spin magnetization in μB/atom: 0.00

***

Taking the most stable structure as the zero point, the relative energies in eV/atom are 1) 0.059; 2) 0.000.

***

1) The following is a DFT calculation (PBE) of a relaxed structure of La3SmDy2.

POSCAR file:
```
La3SmDy2
1.0
-6.067 -0.840 2.465
1.655 -6.856 1.739
5.057 6.548 5.837
La Sm Dy
6 2 4
direct
0.774 0.750 0.000
0.226 0.250 0.000
0.813 0.071 0.642
0.172 0.429 0.358
0.828 0.571 0.642
0.187 0.929 0.358
0.728 0.250 0.000
0.272 0.750 0.000
0.354 0.354 0.708
0.354 0.854 0.708
0.646 0.146 0.292
0.646 0.646 0.292
```

Calculated values
Space-group type: Imma (74)
Spin magnetization in μB/atom: 0.00

***

2) The following is a DFT calculation (PBE) of a relaxed structure of La3SmDy2.

POSCAR file:
```
La3SmDy2
1.0
-0.529 -3.462 -0.095
3.758 -0.702 4.657
-9.221 3.072 4.006
La Sm Dy
3 1 2
direct
0.000 0.500 0.000
0.811 0.811 0.622
0.189 0.189 0.378
0.000 0.000 0.000
0.637 0.637 0.274
0.363 0.363 0.726
```

Calculated values
Space-group type: Immm (71)
Spin magnetization in μB/atom: 0.00

***

Taking the most stable structure as the zero point, the relative energies in eV/atom are 1) 0.000; 2) 0.168.